1.
19
Lattice="4.565 2.636 3.895 -4.565 2.636 3.895 0.000 -5.271 3.895" Properties=species:S:1:pos:R:3 comment="PBE V6FePd12, relaxed" e_form_ev_per_atom=-0.1344 total_magnetization_mub_per_fu=3.195 pbc="T T T"
V -2.384 0.551 5.368
V -1.670 -1.789 6.316
V 0.714 -2.340 5.368
V -0.714 2.340 6.316
V 1.670 1.789 5.368
V 2.384 -0.551 6.316
Fe 0.000 0.000 5.842
Pd -1.240 -4.024 4.921
Pd -4.104 -0.938 6.764
Pd -0.985 -1.230 3.721
Pd -2.865 3.085 4.921
Pd -0.573 1.468 3.721
Pd 1.558 -0.238 3.721
Pd -1.558 0.238 7.964
Pd 0.573 -1.468 7.964
Pd 2.865 -3.085 6.764
Pd 0.985 1.230 7.964
Pd 4.104 0.938 4.921
Pd 1.240 4.024 6.764

2.
6
Lattice="3.029 0.000 0.000 0.000 3.029 0.000 0.000 0.000 8.825" Properties=species:S:1:pos:R:3 comment="PBE VFePd, relaxed" relative_energy_mev_per_atom=0 e_form_ev_per_atom=-0.0731 total_magnetization_mub_per_fu=1.138 pbc="T T T"
V 0.000 0.000 0.000
V 1.514 1.514 4.412
Fe 0.000 0.000 5.546
Fe 1.514 1.514 1.134
Pd 0.000 0.000 2.785
Pd 1.514 1.514 7.197

3.
3
Lattice="4.195 0.000 0.000 -2.097 3.633 0.000 0.000 0.000 2.628" Properties=species:S:1:pos:R:3 comment="PBE VFePd, relaxed" relative_energy_mev_per_atom=47 e_form_ev_per_atom=-0.0262 total_magnetization_mub_per_fu=0.944 pbc="T T T"
V 0.000 0.000 0.000
Fe 0.000 2.422 0.000
Pd 2.097 1.211 1.314

4.
6
Lattice="2.753 0.000 0.000 0.000 2.753 0.000 0.000 0.000 11.474" Properties=species:S:1:pos:R:3 comment="PBE VFePd4, relaxed" relative_energy_mev_per_atom=0 e_form_ev_per_atom=-0.1677 total_magnetization_mub_per_fu=3.621 pbc="T T T"
V 0.000 0.000 0.000
Fe 1.377 1.377 5.737
Pd 0.000 0.000 3.939
Pd 0.000 0.000 7.534
Pd 1.377 1.377 1.827
Pd 1.377 1.377 9.647

5.
5
Lattice="4.598 0.000 0.000 0.000 4.598 0.000 0.000 0.000 4.598" Properties=species:S:1:pos:R:3 comment="PBE VFe3Pd, relaxed" relative_energy_mev_per_atom=520 e_form_ev_per_atom=1.4931 total_magnetization_mub_per_fu=12.981 pbc="T T T"
V 0.000 0.000 0.000
Fe 0.000 2.299 2.299
Fe 2.299 0.000 2.299
Fe 2.299 2.299 0.000
Pd 2.299 2.299 2.299

6.
12
Lattice="5.271 0.000 0.000 0.000 7.326 0.000 -2.512 0.000 4.702" Properties=species:S:1:pos:R:3 comment="PBE VFePd4, relaxed" relative_energy_mev_per_atom=116 e_form_ev_per_atom=-0.0513 total_magnetization_mub_per_fu=1.564 pbc="T T T"
V 0.000 0.000 0.000
V 2.635 3.663 0.000
Fe -1.256 3.663 2.351
Fe 1.379 0.000 2.351
Pd -0.562 1.378 3.523
Pd 0.686 2.285 1.179
Pd 0.686 5.041 1.179
Pd -0.562 5.948 3.523
Pd 3.321 1.378 1.179
Pd 2.073 2.285 3.523
Pd 2.073 5.041 3.523
Pd 3.321 5.948 1.179

7.
10
Lattice="3.604 -6.339 0.000 3.604 6.339 0.000 0.000 0.000 4.043" Properties=species:S:1:pos:R:3 comment="PBE VFe2Pd7, relaxed" e_form_ev_per_atom=0.4068 total_magnetization_mub_per_fu=5.898 pbc="T T T"
V 0.000 0.000 0.000
Fe 3.604 2.460 2.021
Fe 3.604 -2.460 2.021
Pd 1.344 1.382 2.021
Pd 3.604 3.734 0.000
Pd 1.344 -1.382 2.021
Pd 3.604 0.000 2.021
Pd 5.863 1.382 2.021
Pd 3.604 -3.734 0.000
Pd 5.863 -1.382 2.021

8.
11
Lattice="3.480 -5.946 0.000 3.480 5.946 0.000 -1.696 0.000 4.126" Properties=species:S:1:pos:R:3 comment="PBE V2FePd8, relaxed" relative_energy_mev_per_atom=163 e_form_ev_per_atom=-0.0076 total_magnetization_mub_per_fu=2.427 pbc="T T T"
V 3.480 3.679 0.000
V 3.480 -3.679 0.000
Fe 2.632 0.000 2.063
Pd 0.295 0.000 1.273
Pd 0.523 1.388 3.638
Pd 2.632 2.583 2.063
Pd 0.523 -1.388 3.638
Pd 4.741 1.388 0.488
Pd 2.632 -2.583 2.063
Pd 4.741 -1.388 0.488
Pd 4.969 0.000 2.853